Here is a relaxed structure of Ca3Mg4Pb4 from Alexandria. Energies are from PBE-GGA.

```
Ca3Mg4Pb4
1.0
-4.5819 0.8445 -1.1456
1.9327 0.0233 -7.7124
-0.0511 -8.3988 4.0602
Ca Mg Pb
3 4 4
Direct
0.1157 0.1157 0.2314
0.8843 0.8843 0.7686
0.0000 0.5000 0.0000
0.3280 0.1306 0.6560
0.6720 0.4746 0.3440
0.6720 0.8694 0.3440
0.3280 0.5254 0.6560
0.2198 0.7198 0.4395
0.7802 0.2802 0.5605
0.5000 0.7996 0.0000
0.5000 0.2004 0.0000
```

Output
Density of states at the Fermi level, states/eV per cell: 2.72
E, eV per atom: -2.822
Density, Mg/m³: 5.63
Formation energy from the elements, eV per atom: -0.35
Total magnetization, Bohr magnetons per cell: 0.0



Here is a relaxed structure of Ca2MgPb9 from Alexandria. Energies are from PBE-GGA.

```
Ca2MgPb9
1.0
4.9225 0.0000 0.0000
0.0000 4.9225 0.0000
0.0000 0.0000 14.7922
Ca Mg Pb
2 1 9
Direct
0.0000 0.0000 0.3357
0.0000 0.0000 0.6643
0.0000 0.0000 0.0000
0.5000 0.5000 0.0000
0.5000 0.5000 0.3296
0.5000 0.5000 0.6704
0.5000 0.0000 0.1607
0.5000 0.0000 0.5000
0.5000 0.0000 0.8393
0.0000 0.5000 0.1607
0.0000 0.5000 0.5000
0.0000 0.5000 0.8393
```

Output
Density of states at the Fermi level, states/eV per cell: 6.50
E, eV per atom: -3.450
Density, Mg/m³: 9.12
Formation energy from the elements, eV per atom: -0.20
Total magnetization, Bohr magnetons per cell: 0.0



Here is a relaxed structure of Ca3MgPb from Alexandria. Energies are from PBE-GGA.

```
Ca3MgPb
1.0
6.0308 0.0000 0.0000
0.0000 6.0308 0.0000
0.0000 0.0000 6.0308
Pb Ca Mg
1 3 1
Direct
0.0000 0.0000 0.0000
0.0000 0.5000 0.0000
0.0000 0.0000 0.5000
0.5000 0.0000 0.0000
0.5000 0.5000 0.5000
```

Output
Density of states at the Fermi level, states/eV per cell: 4.23
E, eV per atom: -2.236
Density, Mg/m³: 2.66
Formation energy from the elements, eV per atom: 0.03
Relative energy among the computed polymorphs, meV per atom: 244.1
Total magnetization, Bohr magnetons per cell: 0.0



Here is a relaxed structure of CaPmMgPb from Alexandria. Energies are from PBE-GGA.

```
CaPmMgPb
1.0
-0.3922 -4.6798 2.8504
2.7889 -0.5985 4.6950
-2.6791 -0.0791 4.7953
Pb Ca Mg Pm
1 1 1 1
Direct
0.5000 0.5000 0.5000
0.2500 0.2500 0.2500
0.0000 0.0000 0.0000
0.7500 0.7500 0.7500
```

Output
Density of states at the Fermi level, states/eV per cell: 3.46
E, eV per atom: -3.329
Density, Mg/m³: 5.90
Formation energy from the elements, eV per atom: -0.32
Total magnetization, Bohr magnetons per cell: 0.0



Here is a relaxed structure of CaMg2RhPb from Alexandria. Energies are from PBE-GGA.

```
CaMg2RhPb
1.0
4.9949 0.0000 0.0000
0.0000 4.9949 0.0000
0.0000 0.0000 5.2484
Pb Ca Rh Mg
1 1 1 2
Direct
0.0000 0.0000 0.5000
0.5000 0.5000 0.5000
0.0000 0.0000 0.0000
0.0000 0.5000 0.0000
0.5000 0.0000 0.0000
```

Output
Density of states at the Fermi level, states/eV per cell: 3.60
E, eV per atom: -3.477
Density, Mg/m³: 5.06
Formation energy from the elements, eV per atom: -0.23
Total magnetization, Bohr magnetons per cell: 0.0



Here is a relaxed structure of CaMgScPb from Alexandria. Energies are from PBE-GGA.

```
CaMgScPb
1.0
-1.7046 -4.5988 2.0084
2.0556 -4.5697 -1.7263
3.1619 -2.8453 3.1614
Pb Sc Ca Mg
1 1 1 1
Direct
0.5000 0.5000 0.5000
0.7500 0.7500 0.7500
0.2500 0.2500 0.2500
0.0000 0.0000 0.0000
```

Output
Density of states at the Fermi level, states/eV per cell: 4.08
E, eV per atom: -3.631
Density, Mg/m³: 4.99
Formation energy from the elements, eV per atom: -0.22
Total magnetization, Bohr magnetons per cell: 0.0



Here is a relaxed structure of Ca2MgPbSe from Alexandria. Energies are from PBE-GGA.

```
Ca2MgPbSe
1.0
-2.0841 -5.0789 0.1794
4.9483 -1.9838 1.3225
-1.0749 0.6158 4.9455
Pb Ca Mg Se
1 2 1 1
Direct
0.5000 0.5000 0.5000
0.0000 0.5000 0.0000
0.5000 0.0000 0.0000
0.0000 0.0000 0.5000
0.0000 0.0000 0.0000
```

Output
Density of states at the Fermi level, states/eV per cell: 1.41
Formation energy (no corrections), eV/atom: -0.695
E, eV per atom: -3.253
Density, Mg/m³: 4.22
Total magnetization, Bohr magnetons per cell: 0.0



Here is a relaxed structure of CaSmMgPb from Alexandria. Energies are from PBE-GGA.

```
CaSmMgPb
1.0
5.4825 0.0000 0.0000
2.7413 4.7480 0.0000
2.7413 1.5827 4.4765
Pb Ca Mg Sm
1 1 1 1
Direct
0.5000 0.5000 0.5000
0.7500 0.7500 0.7500
0.0000 0.0000 0.0000
0.2500 0.2500 0.2500
```

Output
Density of states at the Fermi level, states/eV per cell: 3.45
E, eV per atom: -3.314
Density, Mg/m³: 6.01
Formation energy from the elements, eV per atom: -0.31
Total magnetization, Bohr magnetons per cell: 0.0



Here is a relaxed structure of CaMg2SnPb from Alexandria. Energies are from PBE-GGA.

```
CaMg2SnPb
1.0
-1.5433 -1.4227 4.0918
3.8550 -3.9481 -2.5030
8.1334 4.9137 4.7760
Ca Mg Sn Pb
2 4 2 2
Direct
0.5529 0.1057 0.7500
0.4471 0.8943 0.2500
0.2760 0.5519 0.9125
0.7240 0.4481 0.0875
0.2760 0.5519 0.5875
0.7240 0.4481 0.4125
0.8331 0.6662 0.7500
0.1669 0.3338 0.2500
0.0000 0.0000 0.0000
0.0000 0.0000 0.5000
```

Output
Density of states at the Fermi level, states/eV per cell: 4.92
E, eV per atom: -2.838
Density, Mg/m³: 5.02
Formation energy from the elements, eV per atom: -0.26
Total magnetization, Bohr magnetons per cell: 0.0



Here is a relaxed structure of SrCaMgPb from Alexandria. Energies are from PBE-GGA.

```
SrCaMgPb
1.0
-4.2356 3.5080 -1.4427
-5.3884 -1.4489 1.0926
-2.9191 2.7428 4.0353
Pb Sr Ca Mg
1 1 1 1
Direct
0.5000 0.5000 0.5000
0.7500 0.7500 0.7500
0.2500 0.2500 0.2500
0.0000 0.0000 0.0000
```

Output
Density of states at the Fermi level, states/eV per cell: 1.28
E, eV per atom: -2.612
Density, Mg/m³: 4.59
Formation energy from the elements, eV per atom: -0.37
Total magnetization, Bohr magnetons per cell: 0.0



Here is a relaxed structure of CaMgTe4Pb2 from Alexandria. Energies are from PBE-GGA.

```
CaMgTe4Pb2
1.0
4.5047 0.0000 0.0000
0.0000 7.8240 0.1370
0.0000 -2.7349 7.3616
Ca Mg Te Pb
1 1 4 2
Direct
0.5000 0.5000 0.0000
0.0000 0.0000 0.0000
0.5000 0.2327 0.2279
0.5000 0.7673 0.7721
0.0000 0.2459 0.7654
0.0000 0.7541 0.2346
0.5000 0.0000 0.5000
0.0000 0.5000 0.5000
```

Output
Density of states at the Fermi level, states/eV per cell: 0.01
Formation energy (no corrections), eV/atom: -0.788
E, eV per atom: -3.736
Density, Mg/m³: 6.29
Total magnetization, Bohr magnetons per cell: 0.0



Here is a relaxed structure of CaMgTlPb2 from Alexandria. Energies are from PBE-GGA.

```
CaMgTlPb2
1.0
5.4750 0.0000 0.0000
0.0000 5.8506 0.0000
0.0000 0.0000 5.4750
Pb Tl Mg Ca
2 1 1 1
Direct
0.0000 0.0000 0.5000
0.5000 0.0000 0.0000
0.5000 0.5000 0.5000
0.0000 0.0000 0.0000
0.0000 0.5000 0.0000
```

Output
Density of states at the Fermi level, states/eV per cell: 3.10
E, eV per atom: -2.473
Density, Mg/m³: 6.47
Formation energy from the elements, eV per atom: 0.20
Total magnetization, Bohr magnetons per cell: 0.0



Here is a relaxed structure of CaMgTl2Pb from Alexandria. Energies are from PBE-GGA.

```
CaMgTl2Pb
1.0
-0.8285 4.7691 3.6784
0.2117 -3.6828 4.8225
8.1723 2.9227 -1.9488
Ca Mg Tl Pb
2 2 4 2
Direct
0.2500 0.6567 0.3133
0.7500 0.3433 0.6867
0.2500 0.8524 0.7048
0.7500 0.1476 0.2952
0.5000 0.2473 0.0000
0.0000 0.7527 0.0000
0.5000 0.7527 0.0000
0.0000 0.2473 0.0000
0.7500 0.7430 0.4860
0.2500 0.2570 0.5140
```

Output
Density of states at the Fermi level, states/eV per cell: 6.87
E, eV per atom: -2.417
Density, Mg/m³: 7.32
Formation energy from the elements, eV per atom: -0.01
Total magnetization, Bohr magnetons per cell: 0.0



Here is a relaxed structure of CaYMgPb from Alexandria. Energies are from PBE-GGA.

```
CaYMgPb
1.0
5.4440 0.0000 0.0000
2.7220 4.7146 0.0000
2.7220 1.5715 4.4450
Pb Y Ca Mg
1 1 1 1
Direct
0.5000 0.5000 0.5000
0.7500 0.7500 0.7500
0.2500 0.2500 0.2500
0.0000 0.0000 0.0000
```

Output
Density of states at the Fermi level, states/eV per cell: 3.43
E, eV per atom: -3.738
Density, Mg/m³: 5.25
Formation energy from the elements, eV per atom: -0.30
Total magnetization, Bohr magnetons per cell: 0.0



Here is a relaxed structure of CaMgZnPb from Alexandria. Energies are from PBE-GGA.

```
CaMgZnPb
1.0
5.1936 0.0000 0.0000
2.5968 4.4978 0.0000
2.5968 1.4993 4.2405
Pb Zn Mg Ca
1 1 1 1
Direct
0.5000 0.5000 0.5000
0.0000 0.0000 0.0000
0.7500 0.7500 0.7500
0.2500 0.2500 0.2500
```

Output
Density of states at the Fermi level, states/eV per cell: 1.14
E, eV per atom: -2.403
Density, Mg/m³: 5.65
Formation energy from the elements, eV per atom: -0.26
Total magnetization, Bohr magnetons per cell: 0.0



Here is a relaxed structure of CaMgPd2 from Alexandria. Energies are from PBE-GGA.

```
CaMgPd2
1.0
-3.0331 0.6889 1.2739
-1.7320 -3.9485 -1.9885
1.0889 -2.4509 3.9181
Ca Mg Pd
1 1 2
Direct
0.5000 0.5000 0.5000
0.5000 0.0000 0.0000
0.0000 0.0000 0.5000
0.0000 0.5000 0.0000
```

Output
Density of states at the Fermi level, states/eV per cell: 1.34
E, eV per atom: -4.140
Density, Mg/m³: 6.08
Formation energy from the elements, eV per atom: -0.64
Total magnetization, Bohr magnetons per cell: 0.0



Here is a relaxed structure of Ca2MgPd from Alexandria. Energies are from PBE-GGA.

```
Ca2MgPd
1.0
3.6584 0.0000 0.0000
0.0000 3.6584 0.0000
0.0000 0.0000 7.8586
Ca Mg Pd
2 1 1
Direct
0.0000 0.0000 0.7868
0.0000 0.0000 0.2132
0.5000 0.5000 0.5000
0.5000 0.5000 0.0000
```

Output
Density of states at the Fermi level, states/eV per cell: 2.06
E, eV per atom: -3.086
Density, Mg/m³: 3.33
Formation energy from the elements, eV per atom: -0.39
Total magnetization, Bohr magnetons per cell: 0.0



Here is a relaxed structure of Ca4MgPd5 from Alexandria. Energies are from PBE-GGA.

```
Ca4MgPd5
1.0
-3.1740 0.9394 -0.9926
-0.4029 -3.0416 -1.5901
-6.5991 -6.7953 14.6707
Ca Mg Pd
4 1 5
Direct
0.0000 0.0000 0.1899
0.0000 0.0000 0.3965
0.0000 0.0000 0.6035
0.0000 0.0000 0.8101
0.0000 0.0000 0.0000
0.5000 0.5000 0.0822
0.5000 0.5000 0.2928
0.5000 0.5000 0.5000
0.5000 0.5000 0.7072
0.5000 0.5000 0.9178
```

Output
Density of states at the Fermi level, states/eV per cell: 5.82
E, eV per atom: -4.213
Density, Mg/m³: 5.71
Formation energy from the elements, eV per atom: -0.66
Total magnetization, Bohr magnetons per cell: 0.0



Here is a relaxed structure of CaMg12Pd6 from Alexandria. Energies are from PBE-GGA.

```
CaMg12Pd6
1.0
-3.6870 -6.3099 -2.3292
5.6242 0.9585 -5.1267
3.5903 -2.1218 6.4375
Ca Mg Pd
1 12 6
Direct
0.0000 0.0000 0.0000
0.8798 0.1202 0.5000
0.8358 0.5712 0.5712
0.5712 0.5712 0.8358
0.4288 0.1642 0.4288
0.4288 0.4288 0.1642
0.1642 0.4288 0.4288
0.1202 0.5000 0.8798
0.5000 0.8798 0.1202
0.1202 0.8798 0.5000
0.8798 0.5000 0.1202
0.5000 0.1202 0.8798
0.5712 0.8358 0.5712
0.6959 0.2573 0.2573
0.2573 0.2573 0.6959
0.2573 0.6959 0.2573
0.7427 0.7427 0.3041
0.3041 0.7427 0.7427
0.7427 0.3041 0.7427
```

Output
Density of states at the Fermi level, states/eV per cell: 7.64
E, eV per atom: -3.177
Density, Mg/m³: 4.05
Formation energy from the elements, eV per atom: -0.42
Total magnetization, Bohr magnetons per cell: 0.0



Here is a relaxed structure of CaMgPd6 from Alexandria. Energies are from PBE-GGA.

```
CaMgPd6
1.0
4.0589 0.0000 0.0000
0.0000 4.0589 0.0000
0.0000 0.0000 8.0700
Ca Mg Pd
1 1 6
Direct
0.0000 0.0000 0.0000
0.0000 0.0000 0.5000
0.5000 0.5000 0.0000
0.5000 0.5000 0.5000
0.5000 0.0000 0.2636
0.5000 0.0000 0.7364
0.0000 0.5000 0.2636
0.0000 0.5000 0.7364
```

Output
Density of states at the Fermi level, states/eV per cell: 10.29
E, eV per atom: -4.824
Density, Mg/m³: 8.78
Formation energy from the elements, eV per atom: -0.48
Total magnetization, Bohr magnetons per cell: 0.0